# 1
The following is a DFT calculation (PBE) of an optimized crystal structure of Al7W5.

Unit cell a=5.1878 b=5.1878 c=16.5892 alpha=90.00 beta=90.00 gamma=120.00
Fractional coordinates of all 24 atoms:
Al  0.0000  0.5000  0.0000
Al  0.0000  0.5000  0.5000
Al  0.3333  0.6667  0.1238
Al  0.3333  0.6667  0.3762
Al  0.3333  0.6667  0.6649
Al  0.3333  0.6667  0.8351
Al  0.5000  0.0000  0.0000
Al  0.5000  0.0000  0.5000
Al  0.5000  0.5000  0.0000
Al  0.5000  0.5000  0.5000
Al  0.6667  0.3333  0.1649
Al  0.6667  0.3333  0.3351
Al  0.6667  0.3333  0.6238
Al  0.6667  0.3333  0.8762
W  0.0000  0.0000  0.0826
W  0.0000  0.0000  0.4174
W  0.0000  0.0000  0.5826
W  0.0000  0.0000  0.9174
W  0.1641  0.3283  0.2500
W  0.1641  0.8359  0.2500
W  0.3283  0.1641  0.7500
W  0.6717  0.8359  0.2500
W  0.8359  0.1641  0.7500
W  0.8359  0.6717  0.7500

Symmetry: P6_3/mmc, No. 194
Relative energy among the computed polymorphs (meV per atom): 90
Calculated total energy (Ry/atom): -0.5382

# 2
The following is a DFT calculation (PBE) of an optimized crystal structure of NdSmBC2.

Unit cell a=5.3491 b=5.3488 c=6.1032 alpha=90.00 beta=115.08 gamma=90.00
Fractional coordinates of all 10 atoms:
Nd  0.0000  0.0000  0.0000
Nd  0.5000  0.5000  0.0000
Sm  0.2028  0.5000  0.4175
Sm  0.7028  0.0000  0.4175
B  0.3525  0.0000  0.7107
B  0.8525  0.5000  0.7107
C  0.2155  0.0000  0.4418
C  0.4890  0.0000  0.9794
C  0.7155  0.5000  0.4418
C  0.9890  0.5000  0.9794

Symmetry: Cm, No. 8
Calculated total energy (Ry/atom): -0.5325

# 3
The following is a DFT calculation (PBE) of an optimized crystal structure of ZrB2O5.

Unit cell a=4.3996 b=6.9449 c=8.9819 alpha=90.00 beta=91.04 gamma=90.00
Fractional coordinates of all 32 atoms:
Zr  0.0024  0.1136  0.1717
Zr  0.0024  0.3864  0.6717
Zr  0.9976  0.6136  0.3283
Zr  0.9976  0.8864  0.8283
B  0.4638  0.0866  0.6646
B  0.4638  0.4134  0.1646
B  0.4736  0.7296  0.5774
B  0.4736  0.7704  0.0774
B  0.5264  0.2296  0.9226
B  0.5264  0.2704  0.4226
B  0.5362  0.5866  0.8354
B  0.5362  0.9134  0.3354
O  0.2139  0.5897  0.8235
O  0.2139  0.9103  0.3235
O  0.2344  0.5965  0.5329
O  0.2344  0.9035  0.0329
O  0.3062  0.1555  0.8064
O  0.3062  0.3445  0.3064
O  0.3293  0.6048  0.1492
O  0.3293  0.8952  0.6492
O  0.3460  0.2199  0.5522
O  0.3460  0.2801  0.0522
O  0.6540  0.7199  0.9478
O  0.6540  0.7801  0.4478
O  0.6707  0.1048  0.3508
O  0.6707  0.3952  0.8508
O  0.6938  0.6555  0.6936
O  0.6938  0.8445  0.1936
O  0.7656  0.0965  0.9671
O  0.7656  0.4035  0.4671
O  0.7861  0.0897  0.6765
O  0.7861  0.4103  0.1765

Symmetry: P2_1/c, No. 14
Calculated total energy (Ry/atom): -0.6311

| no. | total magnetization (μB per cell) |
| --- | --- |
| 1 | 0.0 |
| 2 | 0.0 |
| 3 | 0.0 |